(1)
# ZrNb

A relaxed structure of ZrNb (PBE, the Open Quantum Materials Database).

a b c (Å): 5.6343 5.6343 5.6343
angles (deg): 90.00 90.00 90.00
Closest atoms and distances in Å follow each position.
Space group Fm-3m (No. 225)
Asymmetric unit:
Zr 0.0000 0.0000 0.0000  6 Nb 2.82
Nb 0.0000 0.0000 0.5000  6 Zr 2.82

Properties
* energy of formation: 981 meV/atom
* size of the total moment: 0.004 μB per formula unit

(2)
# Hf2SbOs

A relaxed structure of Hf2SbOs (PBE, the Open Quantum Materials Database).

a b c (Å): 6.7355 6.7355 6.7355
angles (deg): 90.00 90.00 90.00
Closest atoms and distances in Å follow each position.
Space group F-43m (No. 216)
Asymmetric unit:
Hf 0.0000 0.0000 0.0000  4 Os 2.92, 4 Hf 2.92
Hf 0.2500 0.2500 0.2500  4 Hf 2.92, 4 Sb 2.92
Sb 0.0000 0.0000 0.5000  4 Hf 2.92, 4 Os 2.92
Os 0.2500 0.2500 0.7500  4 Hf 2.92, 4 Sb 2.92

Properties
* size of the total moment: 1.613 μB per formula unit
* total energy: -8.72 eV/atom

(3)
# BeFeNiBi

A relaxed structure of BeFeNiBi (PBE, the Open Quantum Materials Database).

a b c (Å): 6.1330 6.1330 6.1330
angles (deg): 90.00 90.00 90.00
Closest atoms and distances in Å follow each position.
Space group F-43m (No. 216)
Asymmetric unit:
Be 0.0000 0.0000 0.0000  4 Bi 2.66, 4 Fe 2.66
Fe 0.2500 0.2500 0.2500  4 Ni 2.66, 4 Be 2.66
Ni 0.0000 0.0000 0.5000  4 Fe 2.66, 4 Bi 2.66
Bi 0.2500 0.2500 0.7500  4 Ni 2.66, 4 Be 2.66

Properties
* excess energy over the best structure of this formula in the dataset: 127.8 meV/atom
* size of the total moment: 2.420 μB per formula unit

(4)
# ThB4Mo

A relaxed structure of ThB4Mo (PBE, the Open Quantum Materials Database).

a b c (Å): 3.2013 5.5088 7.6833
angles (deg): 90.00 90.00 90.00
Closest atoms and distances in Å follow each position.
Space group Immm (No. 71)
Asymmetric unit:
Th 0.0000 0.0000 0.0000  12 B 2.64-2.69
B 0.0000 0.3367 0.2439  3 B 1.80-1.87
Mo 0.0000 0.0000 0.5000  12 B 2.62-2.70

Properties
* excess energy over the best structure of this formula in the dataset: 222.5 meV/atom
* size of the total moment: 0.001 μB per formula unit